! LiAcTmAg, optimized geometry, DFT GGA-PBE; values from VASP
&SYSTEM
  ibrav = 0, nat = 4, ntyp = 4
/
ATOMIC_SPECIES
Tm 168.93 Tm.upf
Ac 227.00 Ac.upf
Ag 107.87 Ag.upf
Li 6.94 Li.upf
ATOMIC_POSITIONS angstrom
Tm -5.9817 -0.1899 2.8130
Ac 0.0000 0.0000 0.0000
Ag -2.9908 -0.0949 1.4065
Li -8.9725 -0.2848 4.2195
CELL_PARAMETERS angstrom
-5.2078 1.2813 -0.6241
-3.8343 -3.2379 1.9918
-2.9212 1.5769 4.2582
! - Crystal system: cubic
! - Total magnetization: 0.0 μB per formula unit
! - Mass density: 7.6 g cm⁻³
! - Energy of formation: -38 meV per atom
! - Symmetry: No. 216